<1>
Density functional theory data (GGA-PBE) for crystalline K3RbSi at its relaxed geometry.

Unit cell a=6.688 b=6.688 c=6.688 alpha=90.00 beta=90.00 gamma=90.00
Each line ends with the local moment (μB).
Sites, in units of the cell vectors:
1 K 0.000 0.500 0.000  0.00
2 K 0.000 0.000 0.500  0.01
3 K 0.500 0.000 0.000  0.00
4 Si 0.000 0.000 0.000  0.12
5 Rb 0.500 0.500 0.500  -0.01

Symmetry ... No. 221

***

<2>
Density functional theory data (GGA-PBE) for crystalline K3RbSi at its relaxed geometry.

Unit cell a=7.425 b=7.425 c=7.425 alpha=90.00 beta=90.00 gamma=90.00
Each line ends with the local moment (μB).
Sites, in units of the cell vectors:
1 K 0.000 0.500 0.000  0.00
2 K 0.000 0.000 0.500  0.00
3 K 0.500 0.000 0.000  -0.01
4 Si 0.500 0.500 0.500  0.52
5 Rb 0.000 0.000 0.000  0.00

Symmetry ... No. 221

***

Most stable structure: <1>

***

<1>
Density functional theory data (GGA-PBE) for crystalline KRbSi2 at its relaxed geometry.

Unit cell a=5.645 b=5.645 c=5.645 alpha=60.00 beta=60.00 gamma=60.00
Sites, in units of the cell vectors:
1 K 0.000 0.000 0.000
2 Si 0.250 0.250 0.250
3 Si 0.750 0.750 0.750
4 Rb 0.500 0.500 0.500

Symmetry ... No. 225

***

<2>
Density functional theory data (GGA-PBE) for crystalline KRbSi2 at its relaxed geometry.

Unit cell a=9.699 b=9.699 c=7.392 alpha=49.00 beta=49.00 gamma=90.00
Sites, in units of the cell vectors:
1 K 0.500 0.500 0.000
2 K 0.250 0.750 0.500
3 Si 0.620 0.125 0.250
4 Si 0.130 0.625 0.250
5 Si 0.375 0.380 0.750
6 Si 0.875 0.870 0.750
7 Rb 0.000 0.000 0.000
8 Rb 0.750 0.250 0.500

Symmetry ... No. 122

***

Most stable structure: <2>

***

<1>
Density functional theory data (GGA-PBE) for crystalline K2RbSn2 at its relaxed geometry.

Unit cell a=10.251 b=10.251 c=3.735 alpha=90.00 beta=90.00 gamma=90.00
Sites, in units of the cell vectors:
1 K 0.313 0.813 0.000
2 K 0.813 0.687 0.000
3 K 0.687 0.187 0.000
4 K 0.187 0.313 0.000
5 Sn 0.104 0.604 0.500
6 Sn 0.604 0.896 0.500
7 Sn 0.896 0.396 0.500
8 Sn 0.396 0.104 0.500
9 Rb 0.000 0.000 0.000
10 Rb 0.500 0.500 0.000

Symmetry ... No. 127

***

<2>
Density functional theory data (GGA-PBE) for crystalline K2RbSn2 at its relaxed geometry.

Unit cell a=4.337 b=4.337 c=14.489 alpha=81.39 beta=81.39 gamma=90.00
Sites, in units of the cell vectors:
1 K 0.357 0.357 0.286
2 K 0.643 0.643 0.714
3 Sn 0.750 0.250 0.500
4 Sn 0.250 0.750 0.500
5 Rb 0.000 0.000 0.000

Symmetry ... No. 139

***

Most stable structure: <1>

***

<1>
Density functional theory data (GGA-PBE) for crystalline KRbSn3 at its relaxed geometry.

Unit cell a=6.101 b=6.101 c=6.101 alpha=90.00 beta=90.00 gamma=90.00
Sites, in units of the cell vectors:
1 K 0.000 0.000 0.000
2 Sn 0.000 0.500 0.000
3 Sn 0.000 0.000 0.500
4 Sn 0.500 0.000 0.000
5 Rb 0.500 0.500 0.500

Symmetry ... No. 221

***

<2>
Density functional theory data (GGA-PBE) for crystalline KRbSn3 at its relaxed geometry.

Unit cell a=6.262 b=6.262 c=6.262 alpha=90.00 beta=90.00 gamma=90.00
Sites, in units of the cell vectors:
1 K 0.500 0.500 0.500
2 Sn 0.000 0.500 0.000
3 Sn 0.000 0.000 0.500
4 Sn 0.500 0.000 0.000
5 Rb 0.000 0.000 0.000

Symmetry ... No. 221

***

Most stable structure: <1>